1.
A geometry-optimized Ho4Al12Os structure, computed with PBE.

abc: 7.4735 7.4735 7.4735
angles: 109.47 109.47 109.47
Closest atoms and distances in Å follow each position.
Fractional positions:
Al 0.2500 0.5000 0.7500  8 Al 2.83-3.05, 4 Ho 3.05
Al 0.2874 0.0000 0.2874  1 Os 2.48
Al 0.7500 0.5000 0.2500  8 Al 2.83-3.05, 4 Ho 3.05
Al 0.5000 0.7500 0.2500  8 Al 2.83-3.05, 4 Ho 3.05
Al 0.7126 0.7126 0.0000  1 Os 2.48
Al 0.2874 0.2874 0.0000  1 Os 2.48
Al 0.7126 0.0000 0.7126  1 Os 2.48
Al 0.0000 0.7126 0.7126  1 Os 2.48
Al 0.0000 0.2874 0.2874  1 Os 2.48
Al 0.5000 0.2500 0.7500  8 Al 2.83-3.05, 4 Ho 3.05
Al 0.2500 0.7500 0.5000  8 Al 2.83-3.05, 4 Ho 3.05
Al 0.7500 0.2500 0.5000  8 Al 2.83-3.05, 4 Ho 3.05
Ho 0.0000 0.5000 0.0000  12 Al 3.05-3.07
Ho 0.5000 0.5000 0.5000  12 Al 3.05-3.07
Ho 0.5000 0.0000 0.0000  12 Al 3.05-3.07
Ho 0.0000 0.0000 0.5000  12 Al 3.05-3.07
Os 0.0000 0.0000 0.0000  6 Al 2.48

Computed properties:
For the electronic total energy, the calculation gives -4.84 eV per atom. The density of states at the Fermi level comes out at 13.930 states/eV per cell. For the magnetic moment, the calculation gives 0.00 Bohr magnetons per cell.

2.
A geometry-optimized Ho6Al2Os structure, computed with PBE.

abc: 4.9932 7.0499 8.4956
angles: 114.51 107.08 90.00
Closest atoms and distances in Å follow each position.
Fractional positions:
Ho 0.8434 0.6003 0.6866  1 Os 2.86, 3 Al 3.09
Ho 0.8434 0.0863 0.6866  1 Os 2.86, 3 Al 3.09
Ho 0.1566 0.9137 0.3134  1 Os 2.86, 3 Al 3.09
Ho 0.1566 0.3997 0.3134  1 Os 2.86, 3 Al 3.09
Ho 0.5000 0.2319 0.0000  2 Os 2.98, 2 Al 3.09, 1 Ho 3.27
Ho 0.5000 0.7681 0.0000  2 Os 2.98, 2 Al 3.09, 1 Ho 3.27
Al 0.3326 0.3325 0.6650  8 Ho 3.09
Al 0.6674 0.6675 0.3350  8 Ho 3.09
Os 0.0000 0.0000 0.0000  8 Ho 2.86-2.98

Computed properties:
For the electronic total energy, the calculation gives -5.23 eV per atom. The density of states at the Fermi level comes out at 8.640 states/eV per cell. For the magnetic moment, the calculation gives 0.00 Bohr magnetons per cell.

3.
A geometry-optimized HoAl4Os structure, computed with PBE.

abc: 4.1186 6.8824 7.7762
angles: 90.00 90.00 90.00
Closest atoms and distances in Å follow each position.
Fractional positions:
Al 0.5000 0.6864 0.0668  2 Os 2.62, 3 Al 2.77-2.85
Al 0.0000 0.0000 0.5000  2 Os 2.39
Al 0.5000 0.0406 0.2500  2 Os 2.65, 6 Al 2.82-2.85
Al 0.5000 0.9594 0.7500  2 Os 2.65, 6 Al 2.82-2.85
Al 0.0000 0.0000 0.0000  2 Os 2.39
Al 0.5000 0.6864 0.4332  2 Os 2.62, 3 Al 2.77-2.85
Al 0.5000 0.3136 0.5668  2 Os 2.62, 3 Al 2.77-2.85
Al 0.5000 0.3136 0.9332  2 Os 2.62, 3 Al 2.77-2.85
Ho 0.0000 0.6239 0.7500  1 Os 2.91, 8 Al 3.09-3.24
Ho 0.0000 0.3761 0.2500  1 Os 2.91, 8 Al 3.09-3.24
Os 0.0000 0.7982 0.2500  8 Al 2.39-2.65
Os 0.0000 0.2018 0.7500  8 Al 2.39-2.65

Computed properties:
For the electronic total energy, the calculation gives -5.63 eV per atom. The density of states at the Fermi level comes out at 3.603 states/eV per cell. For the magnetic moment, the calculation gives 0.00 Bohr magnetons per cell.

4.
A geometry-optimized Ho2Al5Os structure, computed with PBE.

abc: 5.9814 5.9814 5.9814
angles: 94.88 117.23 117.23
Closest atoms and distances in Å follow each position.
Fractional positions:
Ho 0.5000 0.7601 0.2601  10 Al 2.97-3.12
Ho 0.5000 0.2601 0.7601  10 Al 2.97-3.12
Al 0.5645 0.2865 0.2865  1 Os 2.54, 2 Al 2.71
Al 0.0000 0.2865 0.7221  1 Os 2.54, 2 Al 2.71
Al 0.4355 0.7221 0.7221  1 Os 2.54, 2 Al 2.71
Al 0.0000 0.2438 0.2438  1 Os 2.45
Al 0.0000 0.7221 0.2865  1 Os 2.54, 2 Al 2.71
Os 0.0000 0.9408 0.9408  5 Al 2.45-2.54

Computed properties:
For the electronic total energy, the calculation gives -5.15 eV per atom. The density of states at the Fermi level comes out at 4.087 states/eV per cell. For the magnetic moment, the calculation gives 0.00 Bohr magnetons per cell.

5.
A geometry-optimized Ho2AlOs structure, computed with PBE.

abc: 3.3116 3.3116 10.5162
angles: 80.94 80.94 60.00
Closest atoms and distances in Å follow each position.
Fractional positions:
Ho 0.1000 0.1000 0.7000  3 Os 2.82, 1 Al 3.10
Ho 0.9000 0.9000 0.3000  3 Os 2.82, 1 Al 3.10
Al 0.0000 0.0000 0.0000  2 Ho 3.10, 6 Al 3.31
Os 0.5000 0.5000 0.5000  6 Ho 2.82

Computed properties:
For the electronic total energy, the calculation gives -5.70 eV per atom. The density of states at the Fermi level comes out at 2.769 states/eV per cell. The calculation puts the energy above the most stable polymorph in this dataset at 670 meV per atom. For the magnetic moment, the calculation gives 0.00 Bohr magnetons per cell.

6.
A geometry-optimized Ho2AlOs structure, computed with PBE.

abc: 3.4784 3.4784 7.0604
angles: 90.00 90.00 90.00
Closest atoms and distances in Å follow each position.
Fractional positions:
Ho 0.0000 0.0000 0.7701  4 Os 2.95, 4 Al 3.11, 1 Ho 3.25
Ho 0.0000 0.0000 0.2299  4 Os 2.95, 4 Al 3.11, 1 Ho 3.25
Al 0.5000 0.5000 0.5000  8 Ho 3.11, 4 Al 3.48
Os 0.5000 0.5000 0.0000  8 Ho 2.95

Computed properties:
For the electronic total energy, the calculation gives -6.37 eV per atom. The density of states at the Fermi level comes out at 1.537 states/eV per cell. The calculation puts the energy above the most stable polymorph in this dataset at 0 meV per atom. For the magnetic moment, the calculation gives 0.00 Bohr magnetons per cell.